one:
Computed, not measured: a relaxed structure of Pm2ZnNi3 at the GGA-PBE level of DFT.

The space group is Imm2 (No. 44) and the conventional cell measures 3.934, 3.970 and 14.751 Å, with angles of 90.00, 90.00 and 90.00 degrees. Symmetry generates all atoms from Pm at (0.000, 0.000, 0.000), Pm at (0.000, 0.500, 0.266), Zn at (0.000, 0.000, 0.594), Ni at (0.000, 0.000, 0.429), Ni at (0.000, 0.500, 0.686) and Ni at (0.000, 0.500, 0.844).

The volume comes out at 19.2 A^3/atom.


two:
Computed, not measured: a relaxed structure of Pm2ZnNi3 at the GGA-PBE level of DFT.

The space group is Fmmm (No. 69) and the conventional cell measures 7.685, 8.306 and 14.331 Å, with angles of 90.00, 90.00 and 90.00 degrees. Symmetry generates all atoms from Pm at (0.247, 0.000, 0.000), Pm at (0.250, 0.250, 0.250), Zn at (0.000, 0.000, 0.334), Ni at (0.000, 0.000, 0.165) and Ni at (0.000, 0.247, 0.082).

The volume comes out at 19.1 A^3/atom.


So which one is most stable? That would be one, about 21 meV/atom below the next structure.